No. 1
Below is Ba2Hg after structural relaxation, with properties calculated at the PBE level.

As for the space group: P6/mmm. Its total moment is 0.0 μB/cell. The value obtained for the formation energy is -0.019 eV/atom.

Unit cell a=6.0081 b=6.0081 c=3.7655 alpha=90.00 beta=90.00 gamma=120.00
Closest atoms and distances in Å follow each position.
Fractional positions:
Ba 0.6667 0.3333 0.5000  5 Ba 3.47-3.77
Ba 0.3333 0.6667 0.5000  5 Ba 3.47-3.77
Hg 0.0000 0.0000 0.0000  2 Hg 3.77, 12 Ba 3.95

No. 2
Below is BaHg3 after structural relaxation, with properties calculated at the PBE level.

As for the space group: Cmcm. Its total moment is 0.0 μB/cell. The value obtained for the formation energy is -0.429 eV/atom.

Unit cell a=7.3468 b=7.3468 c=5.3691 alpha=90.00 beta=90.00 gamma=119.82
Closest atoms and distances in Å follow each position.
Fractional positions:
Hg 0.1394 0.8606 0.7500  6 Hg 3.22-3.32, 2 Ba 3.55
Hg 0.1650 0.3105 0.7500  6 Hg 3.22-3.50, 2 Ba 3.57
Hg 0.3105 0.1650 0.2500  6 Hg 3.22-3.50, 2 Ba 3.57
Hg 0.8606 0.1394 0.2500  6 Hg 3.22-3.32, 2 Ba 3.55
Hg 0.8350 0.6895 0.2500  6 Hg 3.22-3.50, 2 Ba 3.57
Hg 0.6895 0.8350 0.7500  6 Hg 3.22-3.50, 2 Ba 3.57
Ba 0.3220 0.6780 0.2500  12 Hg 3.55-3.73
Ba 0.6780 0.3220 0.7500  12 Hg 3.55-3.73

No. 3
Below is Ba4Hg after structural relaxation, with properties calculated at the PBE level.

As for the energy relative to the lowest polymorph listed for this composition: 0.152 eV/atom. As for the space group: Im-3m. Its total moment is 0.0 μB/cell. The value obtained for the formation energy is -0.049 eV/atom.

Unit cell a=7.1164 b=7.1164 c=7.1164 alpha=109.47 beta=109.47 gamma=109.47
Closest atoms and distances in Å follow each position.
Fractional positions:
Ba 0.5000 0.5000 0.5000  2 Hg 3.56
Ba 0.0000 0.0000 0.5000  2 Hg 3.56
Ba 0.0000 0.5000 0.0000  2 Hg 3.56
Ba 0.5000 0.0000 0.0000  2 Hg 3.56
Hg 0.0000 0.0000 0.0000  8 Ba 3.56

No. 4
Below is Ba3Hg5 after structural relaxation, with properties calculated at the PBE level.

As for the energy relative to the lowest polymorph listed for this composition: 0.066 eV/atom. As for the space group: P6_3/mcm. Its total moment is 0.0 μB/cell. The value obtained for the formation energy is -0.383 eV/atom.

Unit cell a=10.1282 b=10.1282 c=6.9497 alpha=90.00 beta=90.00 gamma=120.00
Closest atoms and distances in Å follow each position.
Fractional positions:
Hg 0.2862 0.2862 0.7500  5 Ba 3.42-3.58
Hg 0.0000 0.2862 0.2500  5 Ba 3.42-3.58
Hg 0.2862 0.0000 0.2500  5 Ba 3.42-3.58
Hg 0.6667 0.3333 0.5000  2 Hg 3.47, 6 Ba 3.64
Hg 0.3333 0.6667 0.0000  2 Hg 3.47, 6 Ba 3.64
Hg 0.3333 0.6667 0.5000  2 Hg 3.47, 6 Ba 3.64
Hg 0.7138 0.7138 0.2500  5 Ba 3.42-3.58
Hg 0.6667 0.3333 0.0000  2 Hg 3.47, 6 Ba 3.64
Hg 0.7138 0.0000 0.7500  5 Ba 3.42-3.58
Hg 0.0000 0.7138 0.7500  5 Ba 3.42-3.58
Ba 0.0000 0.3724 0.7500  9 Hg 3.42-3.64
Ba 0.3724 0.0000 0.7500  9 Hg 3.42-3.64
Ba 0.6276 0.0000 0.2500  9 Hg 3.42-3.64
Ba 0.3724 0.3724 0.2500  9 Hg 3.42-3.64
Ba 0.6276 0.6276 0.7500  9 Hg 3.42-3.64
Ba 0.0000 0.6276 0.2500  9 Hg 3.42-3.64

Please write out number 2 again, unchanged.
Below is BaHg3 after structural relaxation, with properties calculated at the PBE level.

As for the space group: Cmcm. Its total moment is 0.0 μB/cell. The value obtained for the formation energy is -0.429 eV/atom.

Unit cell a=7.3468 b=7.3468 c=5.3691 alpha=90.00 beta=90.00 gamma=119.82
Closest atoms and distances in Å follow each position.
Fractional positions:
Hg 0.1394 0.8606 0.7500  6 Hg 3.22-3.32, 2 Ba 3.55
Hg 0.1650 0.3105 0.7500  6 Hg 3.22-3.50, 2 Ba 3.57
Hg 0.3105 0.1650 0.2500  6 Hg 3.22-3.50, 2 Ba 3.57
Hg 0.8606 0.1394 0.2500  6 Hg 3.22-3.32, 2 Ba 3.55
Hg 0.8350 0.6895 0.2500  6 Hg 3.22-3.50, 2 Ba 3.57
Hg 0.6895 0.8350 0.7500  6 Hg 3.22-3.50, 2 Ba 3.57
Ba 0.3220 0.6780 0.2500  12 Hg 3.55-3.73
Ba 0.6780 0.3220 0.7500  12 Hg 3.55-3.73

Question: total moment of number 3 (Ba4Hg)?
Answer: 0.0 μB/cell